[1]
The following is a DFT calculation (PBE-GGA) of crystalline KSiHg2S4 at its relaxed geometry. Values from VASP.

The structure in Quantum ESPRESSO input format:
```
&SYSTEM
  ibrav = 0, nat = 8, ntyp = 4
/
ATOMIC_SPECIES
K 39.10 K.upf
Si 28.09 Si.upf
Hg 200.59 Hg.upf
S 32.06 S.upf
CELL_PARAMETERS angstrom
0.000 5.017 4.202
4.858 0.000 4.202
4.858 5.017 0.000
ATOMIC_POSITIONS crystal
K 0.000 0.000 0.000
Si 0.500 0.500 0.500
Hg 0.282 0.282 0.218
Hg 0.782 0.782 0.718
S 0.168 0.538 0.832
S 0.449 0.812 0.188
S 0.538 0.168 0.462
S 0.812 0.449 0.551
```

## Properties
symmetry = Fmm2
formation energy from raw total energies = -0.525 eV per atom

***

[2]
The following is a DFT calculation (PBE-GGA) of crystalline KSnHg2S at its relaxed geometry. Values from VASP.

The structure in Quantum ESPRESSO input format:
```
&SYSTEM
  ibrav = 0, nat = 5, ntyp = 4
/
ATOMIC_SPECIES
K 39.10 K.upf
Sn 118.71 Sn.upf
Hg 200.59 Hg.upf
S 32.06 S.upf
CELL_PARAMETERS angstrom
5.827 0.000 0.000
0.000 5.827 0.000
0.000 0.000 6.855
ATOMIC_POSITIONS crystal
K 0.000 0.000 0.000
Sn 0.000 0.000 0.500
Hg 0.000 0.500 0.000
Hg 0.500 0.000 0.000
S 0.500 0.500 0.500
```

## Properties
symmetry = P4/mmm
formation energy from raw total energies = 0.754 eV per atom

***

What did the second record say?
The following is a DFT calculation (PBE-GGA) of crystalline KSnHg2S at its relaxed geometry. Values from VASP.

The structure in Quantum ESPRESSO input format:
```
&SYSTEM
  ibrav = 0, nat = 5, ntyp = 4
/
ATOMIC_SPECIES
K 39.10 K.upf
Sn 118.71 Sn.upf
Hg 200.59 Hg.upf
S 32.06 S.upf
CELL_PARAMETERS angstrom
5.827 0.000 0.000
0.000 5.827 0.000
0.000 0.000 6.855
ATOMIC_POSITIONS crystal
K 0.000 0.000 0.000
Sn 0.000 0.000 0.500
Hg 0.000 0.500 0.000
Hg 0.500 0.000 0.000
S 0.500 0.500 0.500
```

## Properties
symmetry = P4/mmm
formation energy from raw total energies = 0.754 eV per atom